Record 1
Entry from the Alexandria database: a relaxed NaEuP crystal (PBE).

The value obtained for the total energy is -18.503 eV for the cell shown. The calculation puts the magnetization at 7.00 Bohr magnetons per cell. Its space group is I4mm.

```
3
Lattice="-2.0390 2.0390 4.3800 2.0390 -2.0390 4.3800 2.0390 2.0390 -4.3800" Properties=species:S:1:pos:R:3 pbc="T T T"
Na 0.0000 0.0000 0.0000
Eu 0.0000 0.0000 5.9847
P 0.0000 0.0000 2.8413
```

---

Record 2
Entry from the Alexandria database: a relaxed NaEu3P crystal (PBE).

The value obtained for the total energy is -39.901 eV for the cell shown. The calculation puts the magnetization at 22.56 Bohr magnetons per cell. Its space group is Pm-3m.

```
5
Lattice="5.8042 0.0000 0.0000 0.0000 5.8042 0.0000 0.0000 0.0000 5.8042" Properties=species:S:1:pos:R:3 pbc="T T T"
Na 0.0000 0.0000 0.0000
Eu 0.0000 2.9021 2.9021
Eu 2.9021 0.0000 2.9021
Eu 2.9021 2.9021 0.0000
P 2.9021 2.9021 2.9021
```

---

Number 1: energy of formation -0.5000 eV per atom. Number 2: energy of formation -0.4698 eV per atom.